VASP calculation (PBE-GGA) on a relaxed TbTlHg crystal.

formation energy = -0.301 eV/atom
final energy = -8.2 eV/cell
total magnetic moment = 0.00 μB/f.u.
Fermi-level density of states = 1.44 states/eV/cell
symmetry = P3m1

a b c (Å): 3.7385 4.9391 4.9391
angles (deg): 120.00 90.00 90.00
Closest atoms and distances in Å follow each position.
Positions (direct):
Hg  0.2800  0.3333  0.6667  3 Tl 2.96, 3 Tb 3.18
Tl  0.0644  0.0000  0.0000  3 Hg 2.96, 3 Tb 3.24
Tb  0.6556  0.6667  0.3333  3 Hg 3.18, 3 Tl 3.24